(1)
AcPr7Sn4 PBE-GGA optimized geometry; volume = 405.0 Å³/cell; energy relative to the elements = -0.297 eV/atom; magnetic moment = 0.1 Bohr magnetons per cell; crystal system = monoclinic
1.0
-1.038 1.227 -5.900
4.819 -6.680 -5.406
-5.956 -3.929 -2.938
Sn Pr Ac
4 7 1
direct
0.699 0.672 0.930 Sn
0.301 0.328 0.070 Sn
0.435 0.765 0.364 Sn
0.565 0.235 0.636 Sn
0.055 0.626 0.264 Pr
0.788 0.887 0.537 Pr
0.500 0.000 0.000 Pr
0.318 0.605 0.759 Pr
0.682 0.395 0.241 Pr
0.945 0.374 0.736 Pr
0.212 0.113 0.463 Pr
0.000 0.000 0.000 Ac


(2)
V2ZnRh PBE-GGA optimized geometry; volume = 54.4 Å³/cell; energy relative to the elements = -0.188 eV/atom; magnetic moment = 0.0 Bohr magnetons per cell; crystal system = tetragonal
1.0
3.987 0.000 0.000
0.000 3.693 0.000
0.000 0.000 3.693
V Zn Rh
2 1 1
direct
0.000 0.000 0.500 V
0.000 0.500 0.000 V
0.500 0.500 0.500 Zn
0.500 0.000 0.000 Rh


(3)
CrRhN3 PBE-GGA optimized geometry; volume = 49.9 Å³/cell; formation energy from raw total energies = 1.022 eV/atom; magnetic moment = 0.0 Bohr magnetons per cell; crystal system = cubic
1.0
3.682 0.000 0.000
0.000 3.682 0.000
0.000 0.000 3.682
N Cr Rh
3 1 1
direct
0.000 0.500 0.000 N
0.500 0.000 0.000 N
0.000 0.000 0.500 N
0.000 0.000 0.000 Cr
0.500 0.500 0.500 Rh


(4)
LiSiH2Pd PBE-GGA optimized geometry; volume = 71.9 Å³/cell; magnetic moment = 0.0 Bohr magnetons per cell; crystal system = tetragonal; energy = -16.829 eV for the cell shown
1.0
-3.007 -1.405 -0.640
2.512 -3.184 -4.815
0.751 -2.555 2.082
Si Li Pd H
1 1 1 2
direct
0.000 0.500 0.000 Si
0.000 0.000 0.000 Li
0.500 0.500 0.500 Pd
0.000 0.000 0.500 H
0.500 0.000 0.000 H


(5)
Pm2Pr4NdSc PBE-GGA optimized geometry; volume = 272.0 Å³/cell; energy relative to the elements = 0.096 eV/atom; magnetic moment = 0.0 Bohr magnetons per cell; crystal system = orthorhombic
1.0
-4.963 -0.098 -3.380
-1.455 -5.349 2.291
-5.291 -1.934 7.825
Nd Pr Sc Pm
1 4 1 2
direct
0.500 0.500 0.000 Nd
0.000 0.237 0.263 Pr
0.500 0.736 0.264 Pr
0.500 0.264 0.736 Pr
0.000 0.763 0.737 Pr
0.000 0.500 0.500 Sc
0.000 0.000 0.000 Pm
0.500 0.000 0.500 Pm


(6)
TaCd2Sb PBE-GGA optimized geometry; volume = 86.5 Å³/cell; formation energy from raw total energies = 0.553 eV/atom; magnetic moment = 0.0 Bohr magnetons per cell; crystal system = cubic
1.0
-4.489 -1.892 -0.953
-0.990 -1.909 -4.473
-0.564 -4.902 -0.536
Cd Sb Ta
2 1 1
direct
0.250 0.250 0.250 Cd
0.000 0.000 0.000 Cd
0.500 0.500 0.500 Sb
0.750 0.750 0.750 Ta


(7)
TaReOs PBE-GGA optimized geometry; ΔE to the lowest computed polymorph = 103 meV per atom; volume = 47.6 Å³/cell; energy relative to the elements = 0.015 eV/atom; magnetic moment = 0.0 Bohr magnetons per cell; crystal system = orthorhombic
1.0
4.937 -0.010 0.004
2.596 4.199 -0.004
-3.414 -2.729 2.296
Ta Os Re
1 1 1
direct
0.334 0.334 0.000 Ta
0.009 0.009 0.000 Os
0.657 0.657 0.000 Re


(8)
Zr2IrW PBE-GGA optimized geometry; volume = 74.3 Å³/cell; energy relative to the elements = -0.068 eV/atom; magnetic moment = 0.0 Bohr magnetons per cell; crystal system = tetragonal
1.0
-1.557 -2.696 -1.142
2.901 -1.593 -0.195
-0.795 -2.224 6.334
Zr W Ir
2 1 1
direct
0.500 0.500 0.268 Zr
0.000 0.000 0.985 Zr
0.500 0.500 0.731 W
0.000 0.000 0.516 Ir